# 1
## CrGaOs2 (GGA-PBE)

Data for an optimized crystal structure of CrGaOs2.

The space group is R3m (No. 160, hexagonal axes) and the conventional cell measures 4.1067, 4.1067 and 12.5730 Å, with angles of 90.00, 90.00 and 120.00 degrees. The asymmetric unit holds Cr at (0.0000, 0.0000, 0.0000), Ga at (0.0000, 0.0000, 0.1928), Os at (0.0000, 0.0000, 0.4141) and Os at (0.0000, 0.0000, 0.6118).

***

# 2
## PaCrGaOs (GGA-PBE)

Data for an optimized crystal structure of PaCrGaOs.

The space group is F-43m (No. 216) and the conventional cell measures 6.501, 6.501 and 6.501 Å, with angles of 90.00, 90.00 and 90.00 degrees. The asymmetric unit holds Pa at (0.000, 0.000, 0.000), Cr at (0.250, 0.250, 0.750), Ga at (0.000, 0.000, 0.500) and Os at (0.250, 0.250, 0.250).

***

# 3
## CrGaOsPd2 (GGA-PBE)

Data for an optimized crystal structure of CrGaOsPd2.

The space group is P4/mmm (No. 123) and the conventional cell measures 4.808, 4.808 and 4.645 Å, with angles of 90.00, 90.00 and 90.00 degrees. The asymmetric unit holds Cr at (0.000, 0.000, 0.000), Ga at (0.500, 0.500, 0.000), Os at (0.500, 0.500, 0.500) and Pd at (0.000, 0.500, 0.500).

***

# 4
## CrGaOs2Ru (GGA-PBE)

Data for an optimized crystal structure of CrGaOs2Ru.

The space group is P4/mmm (No. 123) and the conventional cell measures 4.469, 4.469 and 4.370 Å, with angles of 90.00, 90.00 and 90.00 degrees. The asymmetric unit holds Cr at (0.000, 0.000, 0.000), Ga at (0.500, 0.500, 0.500), Os at (0.000, 0.500, 0.000) and Ru at (0.000, 0.000, 0.500).

***

no.,energy of formation from the pure elements (kJ per mole of atoms)
1,25
2,-5
3,153
4,142